Compound: HgMoClO4
Source: Alexandria
Functional: PBE+U
Structure: optimized geometry

Calculated values
Its calculated density is 4.80 g/cm³. As for the uncorrected energy: -5.008 eV/atom.

Cell and atoms, written as CIF:
```
data_HgMoClO4
_cell_length_a 9.8770
_cell_length_b 7.2132
_cell_length_c 7.9719
_cell_angle_alpha 90.00
_cell_angle_beta 105.34
_cell_angle_gamma 90.00
_space_group_name_H-M_alt 'C 1 2/m 1'
_space_group_IT_number 12
loop_
_space_group_symop_operation_xyz
'x,y,z'
'-x,-y,-z'
'-x,y,-z'
'x,-y,z'
'x+1/2,y+1/2,z'
'-x+1/2,-y+1/2,-z'
'-x+1/2,y+1/2,-z'
'x+1/2,-y+1/2,z'
loop_
_atom_site_label
_atom_site_fract_x
_atom_site_fract_y
_atom_site_fract_z
_atom_site_occupancy
Hg1 0.2320 0.0000 0.2067 1
Mo1 0.1245 0.5000 0.2410 1
Cl1 0.0024 0.0000 0.2551 1
O1 0.0646 0.5000 0.8602 1
O2 0.1472 0.5000 0.4653 1
O3 0.2183 0.3016 0.1845 1
```